Record 1
The following is a PBE calculation of a relaxed structure of TbPmTh, from Alexandria via LeMat-Bulk.

```
data_TbPmTh
_cell_length_a 4.9465
_cell_length_b 4.9465
_cell_length_c 8.5601
_cell_angle_alpha 90.00
_cell_angle_beta 90.00
_cell_angle_gamma 90.00
_space_group_name_H-M_alt 'P 4/n m m'
_space_group_IT_number 129
loop_
_space_group_symop_operation_xyz
'x,y,z'
'-x,-y,-z'
'-y+1/2,x,z'
'y+1/2,-x,-z'
'-x+1/2,-y+1/2,z'
'x+1/2,y+1/2,-z'
'y,-x+1/2,z'
'-y,x+1/2,-z'
'x+1/2,-y,-z'
'-x+1/2,y,z'
'-y,-x,-z'
'y,x,z'
'-x,y+1/2,-z'
'x,-y+1/2,z'
'y+1/2,x+1/2,-z'
'-y+1/2,-x+1/2,z'
loop_
_atom_site_label
_atom_site_fract_x
_atom_site_fract_y
_atom_site_fract_z
_atom_site_occupancy
Tb1 0.2500 0.2500 0.2099 1
Pm1 0.2500 0.2500 0.7926 1
Th1 0.2500 0.7500 0.5000 1
```

**Energy above the most stable polymorph in this dataset**: 169 meV per atom



Record 2
The following is a PBE calculation of a relaxed structure of TbPmTh, from Alexandria via LeMat-Bulk.

```
data_TbPmTh
_cell_length_a 3.6024
_cell_length_b 3.6024
_cell_length_c 15.2427
_cell_angle_alpha 90.00
_cell_angle_beta 90.00
_cell_angle_gamma 90.00
_space_group_name_H-M_alt 'P 4/n m m'
_space_group_IT_number 129
loop_
_space_group_symop_operation_xyz
'x,y,z'
'-x,-y,-z'
'-y+1/2,x,z'
'y+1/2,-x,-z'
'-x+1/2,-y+1/2,z'
'x+1/2,y+1/2,-z'
'y,-x+1/2,z'
'-y,x+1/2,-z'
'x+1/2,-y,-z'
'-x+1/2,y,z'
'-y,-x,-z'
'y,x,z'
'-x,y+1/2,-z'
'x,-y+1/2,z'
'y+1/2,x+1/2,-z'
'-y+1/2,-x+1/2,z'
loop_
_atom_site_label
_atom_site_fract_x
_atom_site_fract_y
_atom_site_fract_z
_atom_site_occupancy
Tb1 0.2500 0.2500 0.2427 1
Pm1 0.2500 0.2500 0.5852 1
Th1 0.2500 0.2500 0.9203 1
```

**Energy above the most stable polymorph in this dataset**: 0 meV per atom



Record 3
The following is a PBE calculation of a relaxed structure of Tb4Pm2Th, from Alexandria via LeMat-Bulk.

```
data_Tb4Pm2Th
_cell_length_a 6.2650
_cell_length_b 3.6105
_cell_length_c 20.4569
_cell_angle_alpha 90.00
_cell_angle_beta 96.03
_cell_angle_gamma 90.00
_space_group_name_H-M_alt 'C 1 m 1'
_space_group_IT_number 8
loop_
_space_group_symop_operation_xyz
'x,y,z'
'x,-y,z'
'x+1/2,y+1/2,z'
'x+1/2,-y+1/2,z'
loop_
_atom_site_label
_atom_site_fract_x
_atom_site_fract_y
_atom_site_fract_z
_atom_site_occupancy
Tb1 0.0000 0.0000 0.0000 1
Tb2 0.0225 0.5000 0.5711 1
Tb3 0.4047 0.5000 0.7116 1
Tb4 0.4307 0.0000 0.2867 1
Pm1 0.1230 0.5000 0.8563 1
Pm2 0.2119 0.5000 0.1425 1
Th1 0.3050 0.5000 0.4287 1
```

**Energy above the most stable polymorph in this dataset**: 16 meV per atom



Record 4
The following is a PBE calculation of a relaxed structure of Tb3Pm7Th, from Alexandria via LeMat-Bulk.

```
data_Tb3Pm7Th
_cell_length_a 18.7537
_cell_length_b 7.0553
_cell_length_c 11.3698
_cell_angle_alpha 90.00
_cell_angle_beta 90.00
_cell_angle_gamma 90.00
_space_group_name_H-M_alt 'C m c m'
_space_group_IT_number 63
_space_group_name_Hall '-C 2c 2'
loop_
_atom_site_label
_atom_site_fract_x
_atom_site_fract_y
_atom_site_fract_z
_atom_site_occupancy
Tb1 0.0000 0.0000 0.0000 1
Tb2 0.2456 0.0054 0.2500 1
Pm1 0.0000 0.2342 0.7500 1
Pm2 0.0873 0.2649 0.2500 1
Pm3 0.1606 0.2534 0.5310 1
Th1 0.0000 0.5000 0.0000 1
```

**Energy above the most stable polymorph in this dataset**: 0 meV per atom



Record 5
The following is a PBE calculation of a relaxed structure of Tb2Pm3Th4, from Alexandria via LeMat-Bulk.

```
data_Tb2Pm3Th4
_cell_length_a 6.2215
_cell_length_b 6.2305
_cell_length_c 9.4903
_cell_angle_alpha 71.15
_cell_angle_beta 71.21
_cell_angle_gamma 60.11
_space_group_name_H-M_alt 'P -1'
_space_group_IT_number 2
loop_
_space_group_symop_operation_xyz
'x,y,z'
'-x,-y,-z'
loop_
_atom_site_label
_atom_site_fract_x
_atom_site_fract_y
_atom_site_fract_z
_atom_site_occupancy
Tb1 0.2247 0.0587 0.3304 1
Pm1 0.0000 0.5000 0.0000 1
Pm2 0.4451 0.6122 0.6690 1
Th1 0.1037 0.2740 0.6688 1
Th2 0.3292 0.8364 0.0005 1
```



Record 6
The following is a PBE calculation of a relaxed structure of Tb3Pm4Th2, from Alexandria via LeMat-Bulk.

```
data_Tb3Pm4Th2
_cell_length_a 3.5874
_cell_length_b 3.5874
_cell_length_c 27.0165
_cell_angle_alpha 90.00
_cell_angle_beta 90.00
_cell_angle_gamma 120.00
_space_group_name_H-M_alt 'P 3 m 1'
_space_group_IT_number 156
loop_
_space_group_symop_operation_xyz
'x,y,z'
'-y,x-y,z'
'-x+y,-x,z'
'-y,-x,z'
'-x+y,y,z'
'x,x-y,z'
loop_
_atom_site_label
_atom_site_fract_x
_atom_site_fract_y
_atom_site_fract_z
_atom_site_occupancy
Tb1 0.0000 0.0000 0.0000 1
Tb2 0.0000 0.0000 0.3414 1
Tb3 0.6667 0.3333 0.6713 1
Pm1 0.0000 0.0000 0.5632 1
Pm2 0.0000 0.0000 0.7813 1
Pm3 0.6667 0.3333 0.2348 1
Pm4 0.6667 0.3333 0.4509 1
Th1 0.6667 0.3333 0.1080 1
Th2 0.6667 0.3333 0.8912 1
```

**Energy above the most stable polymorph in this dataset**: 69 meV per atom



Quick rundown of total energy, same order as above: -5.410, -5.579, -5.035, -4.815, -5.846, -5.224 eV per atom